The following is a PBE calculation of a relaxed structure of DySc2Ru, from the Alexandria database.

Unit cell a=3.2685 b=3.2685 c=8.3564 alpha=90.00 beta=90.00 gamma=90.00
Closest atoms and distances in Å follow each position.
Space group P4/mmm (No. 123)
Symmetry-distinct sites (fractional):
Dy1 0.0000 0.0000 0.0000 x1  4 Dy 3.27, 8 Sc 3.52
Sc1 0.5000 0.5000 0.3177 x2  4 Ru 2.77, 1 Sc 3.05
Ru1 0.0000 0.0000 0.5000 x1  8 Sc 2.77

For the total magnetic moment, the calculation gives 0.0 μB/f.u. As for the density of states at the Fermi level: 3.0 states/eV/f.u. The calculation puts the energy relative to the lowest polymorph listed for this composition at 24 meV per atom. For the formation enthalpy at 0 K, the calculation gives -1.28 eV per formula unit.

The following is a PBE calculation of a relaxed structure of Nd3CdS6, from the Alexandria database.

Unit cell a=11.0363 b=13.3772 c=6.9206 alpha=90.00 beta=90.00 gamma=90.00
Closest atoms and distances in Å follow each position.
Space group Cmc2_1 (No. 36)
Symmetry-distinct sites (fractional):
Nd1 0.0000 0.1011 0.0000 x4  7 S 2.87-2.92
Nd2 0.1826 0.4008 0.0907 x8  7 S 2.82-3.02
Cd1 0.0000 0.3004 0.6133 x4  4 S 2.50-2.59
S1 0.0000 0.2747 0.2550 x4  1 Cd 2.50
S2 0.0000 0.4703 0.7942 x4  1 Cd 2.59
S3 0.1618 0.0312 0.2944 x8  4 Nd 2.82-2.89
S4 0.1756 0.2312 0.8180 x8  1 Cd 2.57, 1 Nd 2.84

For the total magnetic moment, the calculation gives 0.0 μB/f.u. As for the density of states at the Fermi level: 8.2 states/eV/f.u. The energy relative to the elements, uncorrected is -151.0 kJ per mole of atoms.

The following is a PBE calculation of a relaxed structure of Li2AsW, from the Alexandria database.

Unit cell a=2.7709 b=4.2301 c=5.1169 alpha=90.00 beta=90.00 gamma=90.00
Closest atoms and distances in Å follow each position.
Space group Pmmm (No. 47)
Symmetry-distinct sites (fractional):
Li1 0.0000 0.0000 0.2492 x2  4 Li 2.55-2.77, 4 W 2.83, 4 As 2.84
As1 0.5000 0.5000 0.5000 x1  2 W 2.56, 2 As 2.77, 8 Li 2.84
W1 0.5000 0.5000 0.0000 x1  2 As 2.56, 2 W 2.77, 8 Li 2.83

For the total magnetic moment, the calculation gives 0.0 μB/f.u. As for the density of states at the Fermi level: 1.9 states/eV/f.u. For the formation enthalpy at 0 K, the calculation gives 0.70 eV per formula unit.

The following is a PBE calculation of a relaxed structure of Pr3Ga3Ge2, from the Alexandria database.

Unit cell a=4.1846 b=11.4708 c=16.0332 alpha=90.00 beta=90.00 gamma=90.00
Closest atoms and distances in Å follow each position.
Space group Cmcm (No. 63)
Symmetry-distinct sites (fractional):
Pr1 0.0000 0.0647 0.2500 x4  3 Ga 3.03-3.06, 4 Ge 3.11
Pr2 0.0000 0.3533 0.0904 x8  4 Ge 3.16-3.44, 7 Ga 3.25-3.36
Ga1 0.0000 0.0651 0.0588 x8  1 Ga 2.41, 2 Ge 2.51
Ga2 0.0000 0.1997 0.7500 x4  2 Ge 2.70
Ge1 0.0000 0.3494 0.6200 x8  3 Ga 2.51-2.70

For the total magnetic moment, the calculation gives 0.0 μB/f.u. As for the density of states at the Fermi level: 3.2 states/eV/f.u. For the formation enthalpy at 0 K, the calculation gives -5.58 eV per formula unit.

The following is a PBE calculation of a relaxed structure of BaZnNi2, from the Alexandria database.

Unit cell a=4.2189 b=4.2189 c=16.7504 alpha=90.00 beta=90.00 gamma=120.00
Closest atoms and distances in Å follow each position.
Space group R3m (No. 160, hexagonal axes)
Symmetry-distinct sites (fractional):
Ba1 0.0000 0.0000 0.0000 x3  4 Ni 3.11-3.47, 4 Zn 3.11-3.47
Zn1 0.0000 0.0000 0.8144 x3  6 Ni 2.46-2.52
Ni1 0.0000 0.0000 0.1855 x3  3 Ni 2.45, 3 Zn 2.52
Ni2 0.0000 0.0000 0.5032 x3  3 Ni 2.45, 3 Zn 2.46

For the total magnetic moment, the calculation gives 0.0 μB/f.u. As for the density of states at the Fermi level: 4.5 states/eV/f.u. For the formation enthalpy at 0 K, the calculation gives -0.44 eV per formula unit.

The following is a PBE calculation of a relaxed structure of Ca2BiPt2, from the Alexandria database.

Unit cell a=7.7106 b=7.7106 c=3.9696 alpha=90.00 beta=90.00 gamma=90.00
Closest atoms and distances in Å follow each position.
Space group P4/mbm (No. 127)
Symmetry-distinct sites (fractional):
Ca1 0.1686 0.3314 0.0000 x4  6 Pt 2.97-3.05
Bi1 0.0000 0.0000 0.5000 x2  4 Pt 3.03
Pt1 0.1289 0.6289 0.5000 x4  1 Pt 2.81, 6 Ca 2.97-3.05, 2 Bi 3.03

For the total magnetic moment, the calculation gives 0.0 μB/f.u. As for the density of states at the Fermi level: 2.4 states/eV/f.u. The calculation puts the energy relative to the lowest polymorph listed for this composition at 71 meV per atom. For the formation enthalpy at 0 K, the calculation gives -3.91 eV per formula unit.

The following is a PBE calculation of a relaxed structure of RbPuBS4, from the Alexandria database.

Unit cell a=6.0598 b=6.3065 c=9.1497 alpha=90.00 beta=109.38 gamma=90.00
Closest atoms and distances in Å follow each position.
Space group P2_1/m (No. 11)
Symmetry-distinct sites (fractional):
Rb1 0.2264 0.2500 0.4372 x2  8 S 3.36-3.63
Pu1 0.2607 0.2500 0.9477 x2  6 S 2.67-2.81
B1 0.2947 0.7500 0.1649 x2  4 S 1.93-1.94
S1 0.1061 0.7500 0.9472 x2  1 B 1.94
S2 0.1180 0.7500 0.3057 x2  1 B 1.93
S3 0.5003 0.0055 0.7974 x4  1 B 1.94

For the total magnetic moment, the calculation gives 4.0 μB/f.u. As for the density of states at the Fermi level: 7.3 states/eV/f.u. The energy relative to the elements, uncorrected is -103.0 kJ per mole of atoms.

The following is a PBE calculation of a relaxed structure of NdY2TcO8, from the Alexandria database.

Unit cell a=7.1876 b=7.2068 c=6.8595 alpha=90.00 beta=90.00 gamma=90.00
Closest atoms and distances in Å follow each position.
Space group Cmmm (No. 65)
Symmetry-distinct sites (fractional):
Nd1 0.0000 0.0000 0.0000 x2  6 O 2.27-2.43
Y1 0.0000 0.5000 0.2498 x4  6 O 2.17-2.41
Tc1 0.0000 0.0000 0.5000 x2  6 O 1.91
O1 0.0000 0.2653 0.5000 x4  1 Tc 1.91
O2 0.0000 0.3145 0.0000 x4  2 Y 2.17, 1 Nd 2.27
O3 0.1834 0.0000 0.2984 x8  1 Tc 1.91

For the total magnetic moment, the calculation gives 0.0 μB/f.u. The energy relative to the elements, uncorrected is -249.0 kJ per mole of atoms.

The following is a PBE calculation of a relaxed structure of Ac3TlNi, from the Alexandria database.

Unit cell a=5.6595 b=5.6595 c=5.6595 alpha=90.00 beta=90.00 gamma=90.00
Closest atoms and distances in Å follow each position.
Space group Pm-3m (No. 221)
Symmetry-distinct sites (fractional):
Ac1 0.0000 0.0000 0.5000 x3  2 Ni 2.83
Tl1 0.5000 0.5000 0.5000 x1  12 Ac 4.00
Ni1 0.0000 0.0000 0.0000 x1  6 Ac 2.83

For the total magnetic moment, the calculation gives 0.0 μB/f.u. As for the density of states at the Fermi level: 6.2 states/eV/f.u. The calculation puts the energy relative to the lowest polymorph listed for this composition at 84 meV per atom. For the formation enthalpy at 0 K, the calculation gives -0.80 eV per formula unit.

The following is a PBE calculation of a relaxed structure of LiLu2Rh, from the Alexandria database.

Unit cell a=4.7560 b=4.7560 c=3.5428 alpha=90.00 beta=90.00 gamma=90.00
Closest atoms and distances in Å follow each position.
Space group P4/mmm (No. 123)
Symmetry-distinct sites (fractional):
Li1 0.0000 0.0000 0.0000 x1  8 Lu 2.97
Lu1 0.0000 0.5000 0.5000 x2  4 Rh 2.97, 4 Li 2.97
Rh1 0.5000 0.5000 0.0000 x1  8 Lu 2.97

For the total magnetic moment, the calculation gives 0.0 μB/f.u. As for the density of states at the Fermi level: 2.1 states/eV/f.u. For the formation enthalpy at 0 K, the calculation gives -1.92 eV per formula unit.

The following is a PBE calculation of a relaxed structure of Nb3GeH, from the Alexandria database.

Unit cell a=4.1547 b=4.1547 c=4.1547 alpha=90.00 beta=90.00 gamma=90.00
Closest atoms and distances in Å follow each position.
Space group Pm-3m (No. 221)
Symmetry-distinct sites (fractional):
Nb1 0.0000 0.0000 0.5000 x3  2 H 2.08
Ge1 0.5000 0.5000 0.5000 x1  12 Nb 2.94
H1 0.0000 0.0000 0.0000 x1  6 Nb 2.08

For the total magnetic moment, the calculation gives 0.0 μB/f.u. As for the density of states at the Fermi level: 0.7 states/eV/f.u. The calculation puts the energy relative to the lowest polymorph listed for this composition at 0 meV per atom.